[1]
Entry from the Alexandria database: an optimized crystal structure of Cr2FeCo (GGA-PBE).

a b c (Å): 2.445 2.445 8.024
angles (deg): 90.00 90.00 108.18
Fractional positions:
Cr  0.000  0.000  0.000
Cr  0.500  0.500  0.249
Fe  0.000  0.000  0.500
Co  0.500  0.500  0.749

Computed properties:
E ... -34.53 eV for the cell shown
M_tot ... 0.9661 μB/atom
N(E_F) ... 5.05 states/eV/f.u.
Formation energy from the elements ... 28 kJ/mol of formula units


[2]
Entry from the Alexandria database: an optimized crystal structure of AlAgOs2 (GGA-PBE).

a b c (Å): 4.403 4.403 4.403
angles (deg): 60.00 60.00 60.00
Fractional positions:
Al  0.000  0.000  0.000
Ag  0.250  0.250  0.250
Os  0.500  0.500  0.500
Os  0.750  0.750  0.750

Computed properties:
E ... -27.51 eV for the cell shown
M_tot ... 0.0000 μB/atom
N(E_F) ... 3.66 states/eV/f.u.
Formation energy from the elements ... 149 kJ/mol of formula units


[3]
Entry from the Alexandria database: an optimized crystal structure of LiCd2Rh (GGA-PBE).

a b c (Å): 4.589 4.589 4.589
angles (deg): 60.00 60.00 60.00
Fractional positions:
Li  0.000  0.000  0.000
Cd  0.250  0.250  0.250
Cd  0.750  0.750  0.750
Rh  0.500  0.500  0.500

Computed properties:
Energy relative to the lowest polymorph listed for this composition ... 0.0 meV per atom
E ... -12.19 eV for the cell shown
M_tot ... 0.0000 μB/atom
N(E_F) ... 1.55 states/eV/f.u.
Formation energy from the elements ... -105 kJ/mol of formula units


[4]
Entry from the Alexandria database: an optimized crystal structure of Zr2ZnIn (GGA-PBE).

a b c (Å): 3.161 5.056 5.168
angles (deg): 90.00 90.92 90.00
Fractional positions:
Zr  0.000  0.000  0.000
Zr  0.039  0.500  0.612
Zn  0.514  0.000  0.506
In  0.523  0.500  0.119

Computed properties:
E ... -21.93 eV for the cell shown
M_tot ... 0.0000 μB/atom
N(E_F) ... 2.25 states/eV/f.u.
Formation energy from the elements ... -79 kJ/mol of formula units


[5]
Entry from the Alexandria database: an optimized crystal structure of CaNiRh (GGA-PBE).

a b c (Å): 4.384 4.384 4.384
angles (deg): 60.00 60.00 60.00
Fractional positions:
Ca  0.000  0.000  0.000
Ni  0.750  0.750  0.750
Rh  0.250  0.250  0.250

Computed properties:
E ... -12.90 eV for the cell shown
M_tot ... 0.0004 μB/atom
N(E_F) ... 4.04 states/eV/f.u.
Formation energy from the elements ... 215 kJ/mol of formula units


[6]
Entry from the Alexandria database: an optimized crystal structure of LaScBiPt2 (GGA-PBE).

a b c (Å): 4.862 4.862 5.729
angles (deg): 90.00 90.00 90.00
Fractional positions:
La  0.000  0.000  0.000
Sc  0.000  0.000  0.500
Bi  0.500  0.500  0.000
Pt  0.000  0.500  0.500
Pt  0.500  0.000  0.500

Computed properties:
E ... -26.80 eV for the cell shown
M_tot ... 0.0000 μB/atom
N(E_F) ... 3.91 states/eV/f.u.
Formation energy from the elements ... 41 kJ/mol of formula units